## SrZnGa6 (PBE-GGA)

Data for SrZnGa6 after structural relaxation.

Output
Space group: P4/mmm
Energy of formation in kcal/mol of atoms: -6.29
Density of states at the Fermi level in states/eV/f.u.: 1.50

Unit cell a=4.6029 b=4.6029 c=7.7961 alpha=90.00 beta=90.00 gamma=90.00
Closest atoms and distances in Å follow each position.
Element x y z (fractional)
1 Sr 0.0000 0.0000 0.0000  16 Ga 3.44-3.49
2 Zn 0.0000 0.0000 0.5000  8 Ga 2.66
3 Ga 0.5000 0.0000 0.6721  3 Ga 2.64-2.68, 2 Zn 2.66
4 Ga 0.0000 0.5000 0.6721  3 Ga 2.64-2.68, 2 Zn 2.66
5 Ga 0.5000 0.5000 0.1614  5 Ga 2.52-2.64
6 Ga 0.5000 0.5000 0.8386  5 Ga 2.52-2.64
7 Ga 0.0000 0.5000 0.3279  3 Ga 2.64-2.68, 2 Zn 2.66
8 Ga 0.5000 0.0000 0.3279  3 Ga 2.64-2.68, 2 Zn 2.66